Dy5Hg2 after structural relaxation. Source: Alexandria via LeMat-Bulk, functional PBE-GGA.

Cell and atoms, written as POSCAR:
```
Dy5Hg2
1.0
8.136 -3.678 0.000
8.136 3.678 0.000
-0.162 0.000 6.730
Dy Hg
10 4
Cartesian
8.014 3.629 5.047
3.596 0.275 5.119
6.556 1.082 3.296
3.677 -0.275 1.754
9.635 1.082 0.069
6.475 -1.082 6.661
12.433 0.275 4.976
9.554 -1.082 3.434
12.514 -0.275 1.611
8.095 -3.629 1.682
6.133 1.824 6.614
9.895 1.824 3.481
6.214 -1.824 3.249
9.976 -1.824 0.116
```

Properties
crystal system	monoclinic
M_tot	0.0	μB/f.u.
formation energy from the elements	-163.2	kJ/mol of formula units
energy relative to the lowest polymorph listed for this composition	0.0000	eV per atom
ρ	10.01	Mg/m³